Entry from the Alexandria database: a relaxed structure of AlZn4Ag6 (PBE).

```
AlZn4Ag6
1.0
-2.775 3.135 -1.780
-0.315 -4.317 -1.300
-13.627 -3.530 15.027
Zn Ag Al
8 12 2
direct
0.505 0.011 0.625
0.835 0.671 0.542
0.495 0.989 0.375
0.505 0.011 0.875
0.495 0.989 0.125
0.165 0.329 0.458
0.165 0.329 0.042
0.835 0.671 0.958
0.506 0.012 0.750
0.171 0.341 0.905
0.160 0.321 0.179
0.500 0.000 0.000
0.500 0.000 0.500
0.840 0.679 0.821
0.829 0.659 0.405
0.829 0.659 0.095
0.494 0.988 0.250
0.160 0.321 0.321
0.840 0.679 0.679
0.171 0.341 0.595
0.172 0.344 0.750
0.828 0.656 0.250
```

Summary:
Density in g cm⁻³: 8.5
Formation enthalpy at 0 K in eV/f.u.: -0.003
Energy relative to the lowest polymorph listed for this composition in meV per atom: 0



Entry from the Alexandria database: a relaxed structure of Al5Zn12Ag2 (PBE).

```
Al5Zn12Ag2
1.0
7.400 0.000 0.000
-3.700 5.704 0.866
0.000 -0.976 7.471
Al Zn Ag
5 12 2
direct
0.378 0.756 0.091
0.622 0.244 0.909
0.226 0.453 0.534
0.000 0.000 0.500
0.774 0.547 0.466
0.419 0.839 0.729
0.597 0.809 0.403
0.589 0.539 0.154
0.212 0.809 0.403
0.852 0.705 0.803
0.950 0.539 0.154
0.581 0.161 0.271
0.148 0.295 0.197
0.411 0.461 0.846
0.788 0.191 0.597
0.050 0.461 0.846
0.403 0.191 0.597
0.197 0.000 0.000
0.803 0.000 0.000
```

Summary:
Density in g cm⁻³: 5.9
Formation enthalpy at 0 K in eV/f.u.: 1.746



Entry from the Alexandria database: a relaxed structure of AlZn4Ag (PBE).

```
AlZn4Ag
1.0
4.958 0.503 0.411
2.151 4.495 0.411
1.394 0.980 9.091
Al Zn Ag
2 8 2
direct
0.500 0.000 0.500
0.000 0.500 0.000
0.590 0.746 0.250
0.746 0.590 0.750
0.174 0.655 0.499
0.826 0.345 0.501
0.655 0.174 0.999
0.345 0.826 0.001
0.410 0.254 0.750
0.254 0.410 0.250
0.925 0.075 0.250
0.075 0.925 0.750
```

Summary:
Density in g cm⁻³: 7.0
Formation enthalpy at 0 K in eV/f.u.: 0.116
Energy relative to the lowest polymorph listed for this composition in meV per atom: 0



Entry from the Alexandria database: a relaxed structure of Al2ZnAg (PBE).

```
Al2ZnAg
1.0
-2.413 0.559 1.689
2.816 -0.555 4.207
2.752 3.872 2.651
Al Zn Ag
2 1 1
direct
0.500 0.500 0.000
0.000 0.000 0.000
0.500 0.500 0.500
0.000 0.000 0.500
```

Summary:
Density in g cm⁻³: 5.7
Formation enthalpy at 0 K in eV/f.u.: -0.022